1.
The following is a DFT calculation (GGA-PBE) of crystalline Rb2Nd2PaTe6 at its relaxed geometry.

Unit cell a=7.8642 b=7.8642 c=9.1880 alpha=98.45 beta=98.45 gamma=119.74
Site moments in Bohr magnetons follow the coordinates.
Fractional positions:
Te1 0.6074 0.9297 0.2985  -0.01
Te2 0.0703 0.3926 0.7015  -0.01
Te3 0.3926 0.0703 0.7015  -0.01
Te4 0.9297 0.6074 0.2985  -0.01
Te5 0.2558 0.2558 0.2999  -0.02
Te6 0.7442 0.7442 0.7001  -0.02
Pa1 0.0000 0.0000 0.5000  1.04
Nd1 0.3329 0.6671 0.5000  0.02
Nd2 0.6671 0.3329 0.5000  0.02
Rb1 0.8307 0.1693 0.0000  0.00
Rb2 0.1693 0.8307 0.0000  0.00

Output
* formation energy without anion corrections: -1.251 eV/atom
* volume: 42.889 Å³/atom
* DOS at the Fermi energy: 2.62 states/eV/f.u.
* symmetry: No. 12
* VASP energy: -4.8704 eV/atom

---

2.
The following is a DFT calculation (GGA-PBE) of crystalline Tb2TmAg at its relaxed geometry.

Unit cell a=5.0398 b=5.0398 c=9.4730 alpha=105.43 beta=105.43 gamma=90.00
Fractional positions:
Ag1 0.2500 0.7500 0.5000
Ag2 0.7500 0.2500 0.5000
Tb1 0.3586 0.3586 0.7173
Tb2 0.0000 0.5000 0.0000
Tb3 0.5000 0.0000 0.0000
Tb4 0.6414 0.6414 0.2827
Tm1 0.1447 0.1447 0.2893
Tm2 0.8553 0.8553 0.7107

Output
* volume: 27.867 Å³/atom
* DOS at the Fermi energy: 5.56 states/eV/f.u.
* symmetry: No. 139
* VASP energy: -4.2778 eV/atom
* ΔE to the lowest computed polymorph: 0 meV per atom

---

3.
The following is a DFT calculation (GGA-PBE) of crystalline NaZnBi2 at its relaxed geometry.

Unit cell a=4.5357 b=4.8410 c=4.8410 alpha=90.00 beta=90.00 gamma=90.00
Fractional positions:
Bi1 0.0000 0.0000 0.5000
Bi2 0.0000 0.5000 0.0000
Na1 0.5000 0.5000 0.5000
Zn1 0.5000 0.0000 0.0000

Output
* volume: 26.574 Å³/atom
* DOS at the Fermi energy: 2.55 states/eV/f.u.
* symmetry: No. 123
* VASP energy: -2.6221 eV/atom

---

- What is the formula in the third record?
  NaZnBi2

---

- Number 3 is which compound?
  NaZnBi2